No. 1
Below is IrPt2Se after structural relaxation, with properties calculated at the PBE level.

Summary:
As for the energy: -5.81 eV/atom. Its magnetization is 0.00 μB per cell. The uncorrected formation energy comes out at 299 meV/atom.

a b c (Å): 5.4995 5.4995 4.7792
angles (deg): 115.49 115.49 29.80
With the nearest neighbours (Å) after each atom.
Element x y z (fractional)
Ir 0.0000 0.0000 0.0000  4 Pt 2.76, 4 Se 2.78, 2 Ir 2.83
Pt 0.2509 0.2509 0.7510  2 Ir 2.76, 2 Se 2.78, 6 Pt 2.78-2.83
Pt 0.7491 0.7491 0.2490  2 Ir 2.76, 2 Se 2.78, 6 Pt 2.78-2.83
Se 0.5000 0.5000 0.5000  4 Pt 2.78, 4 Ir 2.78, 2 Se 2.83

No. 2
Below is Ir2PtSe after structural relaxation, with properties calculated at the PBE level.

Summary:
As for the energy: -6.41 eV/atom. Its magnetization is 0.00 μB per cell. The uncorrected formation energy comes out at 403 meV/atom.

a b c (Å): 2.8906 2.8906 7.4332
angles (deg): 90.00 90.00 90.00
With the nearest neighbours (Å) after each atom.
Element x y z (fractional)
Ir 0.0000 0.0000 0.2422  4 Se 2.72, 4 Pt 2.80, 4 Ir 2.89
Ir 0.0000 0.0000 0.7578  4 Se 2.72, 4 Pt 2.80, 4 Ir 2.89
Pt 0.5000 0.5000 0.5000  8 Ir 2.80, 4 Pt 2.89
Se 0.5000 0.5000 0.0000  8 Ir 2.72, 4 Se 2.89

No. 3
Below is Ir2PtSe after structural relaxation, with properties calculated at the PBE level.

Summary:
As for the energy: -6.34 eV/atom. Its magnetization is 0.00 μB per cell. The uncorrected formation energy comes out at 471 meV/atom.

a b c (Å): 2.8099 2.8099 9.3198
angles (deg): 90.00 90.00 120.95
With the nearest neighbours (Å) after each atom.
Element x y z (fractional)
Ir 0.0000 0.0000 0.2489  2 Se 2.70, 2 Pt 2.72, 6 Ir 2.77-2.81
Ir 0.0000 0.0000 0.7511  2 Se 2.70, 2 Pt 2.72, 6 Ir 2.77-2.81
Pt 0.5000 0.5000 0.5000  4 Ir 2.72, 6 Pt 2.77-2.81
Se 0.5000 0.5000 0.0000  4 Ir 2.70, 6 Se 2.77-2.81

No. 4
Below is IrPtSe6 after structural relaxation, with properties calculated at the PBE level.

Summary:
As for the energy: -4.66 eV/atom. Its magnetization is 0.00 μB per cell. The uncorrected formation energy comes out at -182 meV/atom.

a b c (Å): 6.1147 6.1215 6.1528
angles (deg): 118.78 116.18 94.12
With the nearest neighbours (Å) after each atom.
Element x y z (fractional)
Ir 0.0000 0.0000 0.0000  6 Se 2.49-2.51
Pt 0.5000 0.5000 0.0000  6 Se 2.52-2.57
Se 0.0653 0.1998 0.4978  1 Ir 2.51, 1 Se 2.53, 1 Pt 2.56
Se 0.2372 0.4702 0.2121  1 Ir 2.49, 1 Pt 2.52
Se 0.4327 0.9467 0.1411  1 Ir 2.50, 1 Se 2.53, 1 Pt 2.57
Se 0.5673 0.0533 0.8589  1 Ir 2.50, 1 Se 2.53, 1 Pt 2.57
Se 0.7628 0.5298 0.7879  1 Ir 2.49, 1 Pt 2.52
Se 0.9347 0.8002 0.5022  1 Ir 2.51, 1 Se 2.53, 1 Pt 2.56

No. 5
Below is Ir2PtSe after structural relaxation, with properties calculated at the PBE level.

Summary:
As for the energy: -6.31 eV/atom. Its magnetization is 0.00 μB per cell. The uncorrected formation energy comes out at 505 meV/atom.

a b c (Å): 4.7148 4.7148 4.7148
angles (deg): 128.36 128.36 76.04
With the nearest neighbours (Å) after each atom.
Element x y z (fractional)
Ir 0.2500 0.7500 0.5000  4 Se 2.77, 4 Pt 2.77, 4 Ir 2.90
Ir 0.7500 0.2500 0.5000  4 Se 2.77, 4 Pt 2.77, 4 Ir 2.90
Pt 0.0000 0.0000 0.0000  8 Ir 2.77, 4 Se 2.90
Se 0.5000 0.5000 0.0000  8 Ir 2.77, 4 Pt 2.90

No. 6
Below is IrPt2Se after structural relaxation, with properties calculated at the PBE level.

Summary:
As for the energy: -5.83 eV/atom. Its magnetization is 0.00 μB per cell. The uncorrected formation energy comes out at 275 meV/atom.

a b c (Å): 2.9398 4.1095 5.5237
angles (deg): 90.00 105.32 90.00
With the nearest neighbours (Å) after each atom.
Element x y z (fractional)
Ir 0.0000 0.0000 0.0000  2 Se 2.47, 1 Pt 2.74
Pt 0.2570 0.0000 0.5145  3 Ir 2.74-2.98, 4 Se 2.80, 6 Pt 2.90-2.94
Pt 0.6218 0.5000 0.2451  1 Se 2.65, 4 Ir 2.84, 6 Pt 2.90-2.94
Se 0.8703 0.5000 0.7419  2 Ir 2.47, 1 Pt 2.65